# 1
Material: Ca3Dy3ZnSe8
Method: DFT, PBE
State: relaxed

Uncorrected formation energy (eV/f.u.): -25.5
Energy (eV/atom): -4.966

Lattice parameters (Å, degrees): 8.289 8.289 8.289 59.06 59.06 59.06
Fractional coordinates of all 15 atoms:
Ca  0.000  0.500  0.500
Ca  0.500  0.000  0.500
Ca  0.500  0.500  0.000
Dy  0.000  0.000  0.500
Dy  0.000  0.500  0.000
Dy  0.500  0.000  0.000
Zn  0.500  0.500  0.500
Se  0.248  0.248  0.248
Se  0.255  0.738  0.738
Se  0.262  0.262  0.745
Se  0.262  0.745  0.262
Se  0.738  0.255  0.738
Se  0.738  0.738  0.255
Se  0.745  0.262  0.262
Se  0.752  0.752  0.752

=====

# 2
Material: CsRhF2
Method: DFT, PBE
State: relaxed

Uncorrected formation energy (eV/f.u.): -3.5
Energy (eV/atom): -3.862
Energy relative to the lowest polymorph listed for this composition (eV/atom): 0.3230

Lattice parameters (Å, degrees): 4.746 4.746 4.746 60.00 60.00 60.00
Fractional coordinates of all 4 atoms:
Cs  0.000  0.000  0.000
Rh  0.500  0.500  0.500
F  0.250  0.250  0.250
F  0.750  0.750  0.750